# 1
## BaTiPtS2 (PBE)

Data for a relaxed BaTiPtS2 crystal.

- crystal system = tetragonal
- raw formation energy (eV per atom) = -0.279

CIF file:
```
data_BaTiPtS2
_chemical_formula_sum 'Ba1 Ti1 Pt1 S2'
_space_group_name_H-M_alt 'P 4/m m m'
_space_group_IT_number 123
_space_group_name_Hall '-P 4 2'
_cell_length_a 4.588
_cell_length_b 4.588
_cell_length_c 7.965
_cell_angle_alpha 90.00
_cell_angle_beta 90.00
_cell_angle_gamma 90.00
loop_
_atom_site_label
_atom_site_fract_x
_atom_site_fract_y
_atom_site_fract_z
Ba1 0.000 0.000 0.000
Ti1 0.000 0.000 0.500
Pt1 0.500 0.500 0.000
S1 0.000 0.500 0.500
```



# 2
## CeSn3Rh5 (PBE)

Data for a relaxed CeSn3Rh5 crystal.

- formation energy (eV/f.u.) = -3.59
- crystal system = orthorhombic

CIF file:
```
data_CeSn3Rh5
_chemical_formula_sum 'Ce4 Sn12 Rh20'
_space_group_name_H-M_alt 'C m c m'
_space_group_IT_number 63
_space_group_name_Hall '-C 2c 2'
_cell_length_a 3.882
_cell_length_b 14.064
_cell_length_c 13.466
_cell_angle_alpha 90.00
_cell_angle_beta 90.00
_cell_angle_gamma 90.00
loop_
_atom_site_label
_atom_site_fract_x
_atom_site_fract_y
_atom_site_fract_z
Ce1 0.000 0.074 0.250
Sn1 0.000 0.154 0.750
Sn2 0.000 0.377 0.547
Rh1 0.000 0.000 0.000
Rh2 0.000 0.194 0.565
Rh3 0.000 0.454 0.147
```



# 3
## Nd2AgAs3Pd4 (PBE)

Data for a relaxed Nd2AgAs3Pd4 crystal.

- formation energy (eV/f.u.) = -7.67
- crystal system = tetragonal

CIF file:
```
data_Nd2AgAs3Pd4
_chemical_formula_sum 'Nd2 Ag1 As3 Pd4'
_space_group_name_H-M_alt 'P -4 m 2'
_space_group_IT_number 115
_space_group_name_Hall 'P -4 -2'
_cell_length_a 4.291
_cell_length_b 4.291
_cell_length_c 10.748
_cell_angle_alpha 90.00
_cell_angle_beta 90.00
_cell_angle_gamma 90.00
loop_
_atom_site_label
_atom_site_fract_x
_atom_site_fract_y
_atom_site_fract_z
Nd1 0.000 0.500 0.237
Ag1 0.000 0.000 0.500
As1 0.000 0.500 0.868
As2 0.500 0.500 0.500
Pd1 0.000 0.000 0.000
Pd2 0.000 0.500 0.643
Pd3 0.500 0.500 0.000
```



no.,spin magnetization (μB/f.u.),E_tot (eV per atom)
1,0.43,-5.102
2,0.17,-6.477
3,0.00,-5.478